Entry 1:
First-principles (GGA-PBE) data for a geometry-optimized Ba4LiNb3O12 structure, as listed in OQMD via LeMat-Bulk.

Cell lengths 5.818, 5.818, 19.141 Å; angles 90.00, 90.00, 120.00 degrees
Positions (direct):
1 Ba 0.000 0.000 0.002
2 Ba 0.333 0.667 0.143
3 Ba 0.667 0.333 0.249
4 Ba 0.333 0.667 0.371
5 Ba 0.000 0.000 0.502
6 Ba 0.667 0.333 0.643
7 Ba 0.333 0.667 0.749
8 Ba 0.667 0.333 0.871
9 Li 0.000 0.000 0.167
10 Li 0.000 0.000 0.667
11 Nb 0.667 0.333 0.068
12 Nb 0.000 0.000 0.308
13 Nb 0.667 0.333 0.440
14 Nb 0.333 0.667 0.568
15 Nb 0.000 0.000 0.808
16 Nb 0.333 0.667 0.940
17 O 0.343 0.172 0.120
18 O 0.828 0.657 0.120
19 O 0.828 0.172 0.120
20 O 0.161 0.322 0.256
21 O 0.678 0.839 0.256
22 O 0.161 0.839 0.256
23 O 0.338 0.169 0.378
24 O 0.831 0.169 0.378
25 O 0.831 0.662 0.378
26 O 0.501 0.002 0.497
27 O 0.501 0.499 0.497
28 O 0.998 0.499 0.497
29 O 0.172 0.343 0.620
30 O 0.657 0.828 0.620
31 O 0.172 0.828 0.620
32 O 0.839 0.161 0.756
33 O 0.322 0.161 0.756
34 O 0.839 0.678 0.756
35 O 0.169 0.831 0.878
36 O 0.169 0.338 0.878
37 O 0.662 0.831 0.878
38 O 0.499 0.501 0.997
39 O 0.002 0.501 0.997
40 O 0.499 0.998 0.997

Properties
The calculation puts the uncorrected energy at -7.750 eV/atom. Its space group is No. 186.



Entry 2:
First-principles (GGA-PBE) data for a geometry-optimized BaLiNbPd structure, as listed in OQMD via LeMat-Bulk.

Cell lengths 5.076, 5.076, 5.076 Å; angles 60.00, 60.00, 60.00 degrees
Positions (direct):
1 Ba 0.250 0.250 0.250
2 Li 0.750 0.750 0.750
3 Nb 0.500 0.500 0.500
4 Pd 0.000 0.000 0.000

Properties
Its relative energy among the computed polymorphs is 248.9 meV per atom. The calculation puts the uncorrected energy at -4.050 eV/atom. Its space group is No. 216.



Entry 3:
First-principles (GGA-PBE) data for a geometry-optimized BaLiNbPd structure, as listed in OQMD via LeMat-Bulk.

Cell lengths 4.880, 4.880, 4.880 Å; angles 60.00, 60.00, 60.00 degrees
Positions (direct):
1 Ba 0.500 0.500 0.500
2 Li 0.750 0.750 0.750
3 Nb 0.250 0.250 0.250
4 Pd 0.000 0.000 0.000

Properties
Its relative energy among the computed polymorphs is 0.0 meV per atom. The calculation puts the uncorrected energy at -4.299 eV/atom. Its space group is No. 216.



Entry 4:
First-principles (GGA-PBE) data for a geometry-optimized BaLiNbPd structure, as listed in OQMD via LeMat-Bulk.

Cell lengths 5.114, 5.114, 5.114 Å; angles 60.00, 60.00, 60.00 degrees
Positions (direct):
1 Ba 0.000 0.000 0.000
2 Li 0.750 0.750 0.750
3 Nb 0.500 0.500 0.500
4 Pd 0.250 0.250 0.250

Properties
Its relative energy among the computed polymorphs is 58.4 meV per atom. The calculation puts the uncorrected energy at -4.240 eV/atom. Its space group is No. 216.



Entry 5:
First-principles (GGA-PBE) data for a geometry-optimized BaLiNbPt structure, as listed in OQMD via LeMat-Bulk.

Cell lengths 4.844, 4.844, 4.844 Å; angles 60.00, 60.00, 60.00 degrees
Positions (direct):
1 Ba 0.000 0.000 0.000
2 Li 0.750 0.750 0.750
3 Nb 0.250 0.250 0.250
4 Pt 0.500 0.500 0.500

Properties
Its relative energy among the computed polymorphs is 0.0 meV per atom. The calculation puts the uncorrected energy at -4.721 eV/atom. Its space group is No. 216.



Entry 6:
First-principles (GGA-PBE) data for a geometry-optimized BaLiNbPt structure, as listed in OQMD via LeMat-Bulk.

Cell lengths 5.065, 5.065, 5.065 Å; angles 60.00, 60.00, 60.00 degrees
Positions (direct):
1 Ba 0.500 0.500 0.500
2 Li 0.750 0.750 0.750
3 Nb 0.000 0.000 0.000
4 Pt 0.250 0.250 0.250

Properties
Its relative energy among the computed polymorphs is 146.0 meV per atom. The calculation puts the uncorrected energy at -4.575 eV/atom. Its space group is No. 216.



Entry 7:
First-principles (GGA-PBE) data for a geometry-optimized BaLiNbPt structure, as listed in OQMD via LeMat-Bulk.

Cell lengths 5.015, 5.015, 5.015 Å; angles 60.00, 60.00, 60.00 degrees
Positions (direct):
1 Ba 0.250 0.250 0.250
2 Li 0.750 0.750 0.750
3 Nb 0.000 0.000 0.000
4 Pt 0.500 0.500 0.500

Properties
Its relative energy among the computed polymorphs is 391.8 meV per atom. The calculation puts the uncorrected energy at -4.330 eV/atom. Its space group is No. 216.



Entry 8:
First-principles (GGA-PBE) data for a geometry-optimized BaLiNdSe3 structure, as listed in OQMD via LeMat-Bulk.

Cell lengths 11.079, 4.342, 14.132 Å; angles 90.00, 90.00, 90.00 degrees
Positions (direct):
1 Ba 0.754 0.750 0.003
2 Ba 0.254 0.750 0.497
3 Ba 0.746 0.250 0.503
4 Ba 0.246 0.250 0.997
5 Li 0.247 0.750 0.222
6 Li 0.747 0.750 0.278
7 Li 0.253 0.250 0.722
8 Li 0.753 0.250 0.778
9 Nd 0.497 0.250 0.249
10 Nd 0.997 0.250 0.251
11 Nd 0.003 0.750 0.749
12 Nd 0.503 0.750 0.751
13 Se 0.430 0.750 0.114
14 Se 0.062 0.750 0.115
15 Se 0.747 0.250 0.178
16 Se 0.247 0.250 0.322
17 Se 0.562 0.750 0.385
18 Se 0.930 0.750 0.386
19 Se 0.070 0.250 0.614
20 Se 0.438 0.250 0.615
21 Se 0.753 0.750 0.678
22 Se 0.253 0.750 0.822
23 Se 0.938 0.250 0.885
24 Se 0.570 0.250 0.886

Properties
The calculation puts the uncorrected energy at -4.995 eV/atom. Its space group is No. 62.